Record 1
Entry from the Alexandria database: a geometry-optimized Ho6BiSb3Te2 structure (PBE-GGA).

## Properties
SG: C2/m (12)
Total energy, eV/atom: -5.320
ΔE_f (raw), eV per atom: -1.153

Cell and atoms, written as extended XYZ:
```
12
Lattice="4.378 0.000 0.000 0.000 8.745 0.304 -2.189 -2.528 9.201" Properties=species:S:1:pos:R:3 pbc="T T T"
Te 2.189 4.134 6.320
Te 0.000 2.082 3.185
Sb 2.189 -0.221 6.169
Sb 0.000 6.438 3.336
Bi 2.189 0.000 0.000
Ho 0.000 1.888 6.315
Sb 2.189 4.372 0.152
Ho 0.000 6.517 0.269
Ho 0.000 6.396 6.392
Ho 2.189 -0.179 3.113
Ho 2.189 4.329 3.190
Ho 2.189 -0.300 9.236
```

Record 2
Entry from the Alexandria database: a geometry-optimized Ta4BeCl structure (PBE-GGA).

## Properties
SG: F-43m (216)
Total energy, eV/atom: -7.819
ΔE_f (raw), eV per atom: 1.011

Cell and atoms, written as extended XYZ:
```
6
Lattice="0.301 -5.482 -0.174 -4.424 -3.032 1.186 -2.581 -2.767 -3.982" Properties=species:S:1:pos:R:3 pbc="T T T"
Ta -4.704 -5.745 -0.536
Ta -2.527 -4.253 -1.119
Ta -2.379 -6.950 -1.205
Cl 0.000 0.000 0.000
Be -5.028 -8.461 -2.227
Ta -3.797 -5.615 -3.078
```

Record 3
Entry from the Alexandria database: a geometry-optimized AgPt2 structure (PBE-GGA).

## Properties
SG: P-62m (189)
Total energy, eV/atom: -4.824
Energy of formation, meV/atom: 154

Cell and atoms, written as extended XYZ:
```
9
Lattice="3.940 -6.825 0.000 3.940 6.825 0.000 0.000 0.000 2.739" Properties=species:S:1:pos:R:3 pbc="T T T"
Pt 2.807 0.000 1.369
Pt 1.223 2.118 0.000
Ag 0.000 0.000 1.369
Pt 2.537 4.394 1.369
Pt 2.537 -4.394 1.369
Pt 5.435 0.000 0.000
Ag 3.940 2.275 0.000
Pt 1.223 -2.118 0.000
Ag 3.940 -2.275 0.000
```

- total energy of number 2 (Ta4BeCl)?
  -7.819 eV/atom

- Which value of total energy does entry 3 give?
  -4.824 eV/atom

- Look up the total energy of the third one.
  -4.824 eV/atom

- total energy of number 2 (Ta4BeCl)?
  -7.819 eV/atom